1.
MgZnIn2: relaxed, PBE.

The structure in POSCAR format:
```
MgZnIn2
1.0
7.138 0.000 0.000
0.000 7.138 0.000
0.000 0.000 7.138
Mg Zn In
4 4 8
direct
0.000 0.000 0.000
0.000 0.500 0.500
0.500 0.000 0.500
0.500 0.500 0.000
0.000 0.000 0.500
0.000 0.500 0.000
0.500 0.000 0.000
0.500 0.500 0.500
0.250 0.250 0.250
0.250 0.250 0.750
0.250 0.750 0.250
0.250 0.750 0.750
0.750 0.250 0.250
0.750 0.250 0.750
0.750 0.750 0.250
0.750 0.750 0.750
```

formation energy from the elements = 5 kJ per mole of atoms
energy relative to the lowest polymorph listed for this composition = 57 meV per atom

***

2.
Mg8Zn2In: relaxed, PBE.

The structure in POSCAR format:
```
Mg8Zn2In
1.0
3.939 -6.322 0.000
3.939 6.322 0.000
-1.544 0.000 4.891
Mg Zn In
8 2 1
direct
0.081 0.323 0.608
0.236 0.764 0.000
0.323 0.081 0.608
0.397 0.397 0.203
0.603 0.603 0.797
0.677 0.919 0.392
0.764 0.236 0.000
0.919 0.677 0.392
0.308 0.692 0.500
0.692 0.308 0.500
0.000 0.000 0.000
```

formation energy from the elements = -2 kJ per mole of atoms
energy relative to the lowest polymorph listed for this composition = 28 meV per atom

***

3.
Mg5ZnIn8: relaxed, PBE.

The structure in POSCAR format:
```
Mg5ZnIn8
1.0
-4.485 4.485 4.304
4.485 -4.485 4.304
4.485 4.485 -4.304
Mg Zn In
5 1 8
direct
0.000 0.000 0.000
0.214 0.293 0.725
0.511 0.786 0.079
0.569 0.489 0.275
0.707 0.431 0.921
0.250 0.750 0.500
0.139 0.469 0.088
0.381 0.051 0.912
0.411 0.127 0.393
0.531 0.619 0.670
0.735 0.018 0.607
0.873 0.265 0.284
0.949 0.861 0.330
0.982 0.589 0.716
```

formation energy from the elements = 1 kJ per mole of atoms

***

4.
Mg7Zn2In3: relaxed, PBE.

The structure in POSCAR format:
```
Mg7Zn2In3
1.0
2.249 -15.282 0.000
2.249 15.282 0.000
0.000 0.000 4.107
Mg Zn In
7 2 3
direct
0.000 0.000 0.000
0.075 0.925 0.500
0.219 0.781 0.000
0.420 0.580 0.000
0.580 0.420 0.000
0.781 0.219 0.000
0.925 0.075 0.500
0.134 0.866 0.000
0.866 0.134 0.000
0.332 0.668 0.500
0.500 0.500 0.500
0.668 0.332 0.500
```

formation energy from the elements = 6 kJ per mole of atoms

***

5.
MgZnIn2: relaxed, PBE.

The structure in POSCAR format:
```
MgZnIn2
1.0
3.181 0.000 0.000
0.000 4.073 0.000
0.000 0.000 7.030
Mg Zn In
1 1 2
direct
0.000 0.000 0.000
0.500 0.500 0.202
0.000 0.000 0.447
0.500 0.500 0.742
```

formation energy from the elements = 2 kJ per mole of atoms
energy relative to the lowest polymorph listed for this composition = 25 meV per atom

***

6.
Mg4ZnIn4: relaxed, PBE.

The structure in POSCAR format:
```
Mg4ZnIn4
1.0
-4.790 4.790 2.232
4.790 -4.790 2.232
4.790 4.790 -2.232
Mg Zn In
4 1 4
direct
0.162 0.162 0.323
0.162 0.838 0.000
0.838 0.162 0.000
0.838 0.838 0.677
0.500 0.500 0.000
0.179 0.500 0.679
0.500 0.179 0.679
0.500 0.821 0.321
0.821 0.500 0.321
```

formation energy from the elements = -4 kJ per mole of atoms

***

no.,DOS(E_F) (states/eV/cell),DFT total energy (eV for the cell shown),volume (A^3/atom)
1,5.56,-32.56,22.73
2,4.01,-18.21,22.15
3,4.96,-31.08,24.74
4,4.82,-21.19,23.53
5,1.72,-8.27,22.77
6,3.39,-19.00,22.75